No. 1
Y2Al2In | PBE-GGA | optimized geometry

a b c (Å): 7.244 7.244 4.554
angles (deg): 90.00 90.00 90.00
Space group P4/mbm (No. 127)
Inequivalent atoms, fractional coordinates:
Y 0.170 0.330 0.000 x4
Al 0.128 0.628 0.500 x4
In 0.000 0.000 0.500 x2

Output
**DOS at the Fermi energy**: 6.35 states/eV per cell
**Magnetic moment**: 0.0 μB per formula unit
**E**: -51.19 eV per cell

***

No. 2
ZnTc2Se | PBE-GGA | optimized geometry

a b c (Å): 6.134 6.134 6.134
angles (deg): 90.00 90.00 90.00
Space group Fm-3m (No. 225)
Inequivalent atoms, fractional coordinates:
Zn 0.000 0.000 0.000 x4
Tc 0.250 0.250 0.250 x8
Se 0.000 0.000 0.500 x4

Output
**DOS at the Fermi energy**: 17.34 states/eV per cell
**Magnetic moment**: 0.0 μB per formula unit
**Formation energy (no corrections)**: 0.288 eV per atom
**Distance to the lowest polymorph of the same formula**: 237 meV per atom
**E**: -97.36 eV per cell

***

No. 3
Be5Tc | PBE-GGA | optimized geometry

a b c (Å): 2.684 2.684 7.753
angles (deg): 90.00 90.00 90.00
Space group P4/mmm (No. 123)
Inequivalent atoms, fractional coordinates:
Be 0.000 0.000 0.000 x1
Be 0.000 0.000 0.304 x2
Be 0.500 0.500 0.155 x2
Tc 0.500 0.500 0.500 x1

Output
**DOS at the Fermi energy**: 3.67 states/eV per cell
**Magnetic moment**: 0.2 μB per formula unit
**Distance to the lowest polymorph of the same formula**: 238 meV per atom
**E**: -28.64 eV per cell

***

No. 4
Er6HgPt5 | PBE-GGA | optimized geometry

a b c (Å): 4.942 7.017 14.809
angles (deg): 90.00 90.00 90.00
Space group Immm (No. 71)
Inequivalent atoms, fractional coordinates:
Er 0.000 0.238 0.000 x4
Er 0.000 0.256 0.329 x8
Hg 0.000 0.000 0.500 x2
Pt 0.000 0.000 0.170 x4
Pt 0.000 0.500 0.159 x4
Pt 0.000 0.500 0.500 x2

Output
**DOS at the Fermi energy**: 14.61 states/eV per cell
**Magnetic moment**: 0.0 μB per formula unit
**E**: -142.75 eV per cell

***

No. 5
CsK2O | PBE-GGA | optimized geometry

a b c (Å): 3.744 13.611 7.970
angles (deg): 90.00 103.10 90.00
Space group P2_1/m (No. 11)
Inequivalent atoms, fractional coordinates:
Cs 0.184 0.250 0.363 x2
K 0.377 0.128 0.761 x4
O 0.181 0.750 0.360 x2

Output
**DOS at the Fermi energy**: 3.26 states/eV per cell
**Magnetic moment**: 0.0 μB per formula unit
**Formation energy (no corrections)**: -0.740 eV per atom
**E**: -21.94 eV per cell

***

No. 6
Ce7RuBr12 | PBE-GGA | optimized geometry

a b c (Å): 15.3723 15.3723 10.2666
angles (deg): 90.00 90.00 120.00
Space group R-3 (No. 148, hexagonal axes)
Inequivalent atoms, fractional coordinates:
Ce 0.0000 0.0000 0.0000 x3
Ce 0.0420 0.8781 0.3413 x18
Ru 0.0000 0.0000 0.5000 x3
Br 0.0253 0.4409 0.1617 x18
Br 0.0476 0.8653 0.8403 x18

Output
**DOS at the Fermi energy**: 150.21 states/eV per cell
**Magnetic moment**: 11.0 μB per formula unit
**Formation energy (no corrections)**: -1.518 eV per atom
**E**: -303.75 eV per cell

***

No. 7
Mg2ScW | PBE-GGA | optimized geometry

a b c (Å): 4.207 4.207 4.368
angles (deg): 90.00 90.00 90.00
Space group P4/mmm (No. 123)
Inequivalent atoms, fractional coordinates:
Mg 0.000 0.500 0.000 x2
Sc 0.000 0.000 0.500 x1
W 0.500 0.500 0.500 x1

Output
**DOS at the Fermi energy**: 3.46 states/eV per cell
**Magnetic moment**: 0.0 μB per formula unit
**Distance to the lowest polymorph of the same formula**: 219 meV per atom
**E**: -20.84 eV per cell

***

No. 8
Nd6Hg2Bi | PBE-GGA | optimized geometry

a b c (Å): 9.560 10.074 12.067
angles (deg): 90.00 90.00 90.00
Space group Immm (No. 71)
Inequivalent atoms, fractional coordinates:
Nd 0.000 0.200 0.227 x8
Nd 0.204 0.302 0.500 x8
Nd 0.213 0.500 0.176 x8
Hg 0.000 0.352 0.000 x4
Hg 0.000 0.500 0.370 x4
Bi 0.000 0.000 0.000 x2
Bi 0.000 0.000 0.500 x2

Output
**DOS at the Fermi energy**: 48.84 states/eV per cell
**Magnetic moment**: 0.0 μB per formula unit
**E**: -144.37 eV per cell

***

No. 9
Pr2Ni3C2 | PBE-GGA | optimized geometry

a b c (Å): 3.887 3.764 8.518
angles (deg): 90.00 103.22 90.00
Space group P2/m (No. 10)
Inequivalent atoms, fractional coordinates:
Pr 0.120 0.000 0.238 x2
Ni 0.287 0.500 0.574 x2
Ni 0.500 0.500 0.000 x1
C 0.394 0.500 0.786 x2

Output
**DOS at the Fermi energy**: 3.25 states/eV per cell
**Magnetic moment**: 0.0 μB per formula unit
**E**: -45.67 eV per cell

***

No. 10
Y2PuPt | PBE-GGA | optimized geometry

a b c (Å): 3.528 3.528 8.412
angles (deg): 90.00 90.00 90.00
Space group P4/mmm (No. 123)
Inequivalent atoms, fractional coordinates:
Y 0.000 0.000 0.199 x2
Pu 0.500 0.500 0.500 x1
Pt 0.500 0.500 0.000 x1

Output
**DOS at the Fermi energy**: 6.31 states/eV per cell
**Magnetic moment**: 7.0 μB per formula unit
**Distance to the lowest polymorph of the same formula**: 0 meV per atom
**E**: -35.31 eV per cell